Below is a crystal of Ba4ZrO6 relaxed with PBEsol, with properties calculated at the SCAN level.

Unit cell a=10.3692 b=10.3692 c=12.8778 alpha=90.00 beta=90.00 gamma=120.00
Space group R-3c (No. 167, hexagonal axes)
Unique sites:
1 Ba 0.0000 0.0000 0.2500 [6 per cell]
2 Ba 0.0000 0.3617 0.2500 [18 per cell]
3 Zr 0.0000 0.0000 0.0000 [6 per cell]
4 O 0.0220 0.1771 0.4034 [36 per cell]

- Density: 6.12 Mg/m³
- Formation energy from raw total energies: -3081 meV per atom
- Final energy: -23.653 eV/atom
- N(E_F): 0.0 states/eV/cell
- Total magnetic moment: 0.0 Bohr magnetons per cell

---

Below is a crystal of Hf2TiCdPb relaxed with PBEsol, with properties calculated at the SCAN level.

Unit cell a=5.2620 b=5.2620 c=5.0132 alpha=90.00 beta=90.00 gamma=90.00
Space group P4/mmm (No. 123)
Unique sites:
1 Hf 0.0000 0.5000 0.0000 [2 per cell]
2 Ti 0.0000 0.0000 0.5000 [1 per cell]
3 Cd 0.5000 0.5000 0.5000 [1 per cell]
4 Pb 0.0000 0.0000 0.0000 [1 per cell]

- Density: 8.67 Mg/m³
- Final energy: -48.396 eV/atom
- N(E_F): 3.3 states/eV/cell
- Formation energy from the elements: 1.1186 eV/atom
- Total magnetic moment: 1.4 Bohr magnetons per cell

---

Below is a crystal of BeSnP2 relaxed with PBEsol, with properties calculated at the SCAN level.

Unit cell a=5.3736 b=5.3736 c=10.8188 alpha=90.00 beta=90.00 gamma=90.00
Space group I-42d (No. 122)
Unique sites:
1 Be 0.0000 0.0000 0.0000 [4 per cell]
2 Sn 0.0000 0.0000 0.5000 [4 per cell]
3 P 0.1952 0.2500 0.1250 [8 per cell]

- Density: 4.03 Mg/m³
- Final energy: -15.536 eV/atom
- Formation energy from the elements: -0.2681 eV/atom
- Total magnetic moment: 0.0 Bohr magnetons per cell

---

Below is a crystal of La2BeHg relaxed with PBEsol, with properties calculated at the SCAN level.

Unit cell a=4.4624 b=4.4624 c=9.8018 alpha=90.00 beta=90.00 gamma=90.00
Space group I-4m2 (No. 119)
Unique sites:
1 La 0.0000 0.0000 0.0000 [2 per cell]
2 La 0.0000 0.5000 0.2500 [2 per cell]
3 Be 0.0000 0.0000 0.5000 [2 per cell]
4 Hg 0.0000 0.5000 0.7500 [2 per cell]

- Density: 8.29 Mg/m³
- Polymorph energy (0 for the lowest one): 0 meV per atom
- Final energy: -39.768 eV/atom
- N(E_F): 6.3 states/eV/cell
- Formation energy from the elements: -0.0852 eV/atom
- Total magnetic moment: 0.0 Bohr magnetons per cell